A relaxed structure of V2PtRh. Source: Alexandria, functional GGA-PBE.

The space group is I-42d (No. 122) and the conventional cell measures 6.783, 6.783 and 5.341 Å, with angles of 90.00, 90.00 and 90.00 degrees. Symmetry generates all atoms from V at (0.239, 0.250, 0.125), Pt at (0.000, 0.000, 0.500) and Rh at (0.000, 0.000, 0.000).

As for the spin magnetization: 0.0 μB per formula unit. The value obtained for the density of states at the Fermi level is 1.29 states/eV/atom. As for the formation energy: 49 meV per atom. Its total DFT energy (no corrections) is -7.8588 eV per atom.


A relaxed structure of VPt12Rh3. Source: Alexandria, functional GGA-PBE.

The space group is P4/mmm (No. 123) and the conventional cell measures 3.928, 3.928 and 15.775 Å, with angles of 90.00, 90.00 and 90.00 degrees. Symmetry generates all atoms from V at (0.000, 0.000, 0.000), Pt at (0.000, 0.500, 0.120), Pt at (0.000, 0.500, 0.375), Pt at (0.500, 0.500, 0.000), Pt at (0.500, 0.500, 0.247), Pt at (0.500, 0.500, 0.500), Rh at (0.000, 0.000, 0.251) and Rh at (0.000, 0.000, 0.500).

As for the spin magnetization: 0.3 μB per formula unit. The value obtained for the density of states at the Fermi level is 1.73 states/eV/atom. As for the formation energy: -140 meV per atom. Its total DFT energy (no corrections) is -6.6188 eV per atom.